(1)
NbFeB2Pb (GGA-PBE, relaxed); total magnetization = 0.038 μB/atom; uncorrected energy = -4.227 eV per atom
1.0
-3.319 1.770 1.993
-3.168 -0.892 -4.484
-1.107 -3.810 1.540
B Nb Pb Fe
2 1 1 1
direct
0.000 0.000 0.500
0.500 0.000 0.000
0.000 0.500 0.000
0.000 0.000 0.000
0.500 0.500 0.500

---

(2)
Sc4FeTe (GGA-PBE, relaxed); total magnetization = 0.000 μB/atom; formation energy without anion corrections = -275 kJ/mol of formula units; relative energy among the computed polymorphs = 0.000 eV/atom
1.0
5.528 -0.139 -1.325
-2.311 6.641 -2.508
-0.094 -0.265 7.460
Sc Fe Te
8 2 2
direct
0.925 0.058 0.724
0.842 0.663 0.805
0.425 0.724 0.058
0.342 0.805 0.663
0.658 0.195 0.337
0.158 0.337 0.195
0.575 0.276 0.942
0.075 0.942 0.276
0.750 0.000 0.000
0.250 0.000 0.000
0.750 0.626 0.374
0.250 0.374 0.626

---

(3)
TbPu2ScTe4 (GGA-PBE, relaxed); total magnetization = 1.506 μB/atom; formation energy without anion corrections = -897 kJ/mol of formula units
1.0
4.331 0.000 0.000
0.000 7.491 0.126
0.000 -2.626 7.141
Te Tb Pu Sc
4 1 2 1
direct
0.000 0.246 0.759
0.500 0.762 0.764
0.500 0.238 0.236
0.000 0.754 0.241
0.500 0.500 0.000
0.500 0.000 0.500
0.000 0.500 0.500
0.000 0.000 0.000

---

(4)
TiZnTcPd (GGA-PBE, relaxed); total magnetization = 0.000 μB/atom; uncorrected energy = -6.487 eV per atom
1.0
-3.592 -2.154 1.249
-0.522 -4.199 -1.096
0.269 -3.108 3.062
Pd Zn Ti Tc
1 1 1 1
direct
0.500 0.500 0.500
0.750 0.750 0.750
0.250 0.250 0.250
0.000 0.000 0.000

---

(5)
UBiI (GGA-PBE, relaxed); total magnetization = 0.344 μB/atom; formation energy without anion corrections = -43 kJ/mol of formula units; relative energy among the computed polymorphs = 0.000 eV/atom
1.0
5.468 -1.232 -0.330
0.898 5.533 -0.330
-1.458 -0.985 8.184
I Bi U
2 2 2
direct
0.293 0.293 0.661
0.707 0.707 0.339
0.181 0.181 0.141
0.819 0.819 0.859
0.353 0.647 0.000
0.647 0.353 0.000

---

(6)
Gd3ScCo (GGA-PBE, relaxed); total magnetization = 4.581 μB/atom; uncorrected energy = -11.073 eV per atom
1.0
-0.237 -1.456 -5.042
1.022 -4.964 1.385
-5.148 -0.918 0.507
Gd Sc Co
3 1 1
direct
0.500 0.000 0.000
0.000 0.000 0.500
0.000 0.500 0.000
0.500 0.500 0.500
0.000 0.000 0.000

---

(7)
SrCdRu2 (GGA-PBE, relaxed); total magnetization = 0.645 μB/atom; uncorrected energy = -4.553 eV per atom
1.0
3.014 0.029 0.000
-0.029 3.014 0.000
0.000 0.000 8.770
Ru Sr Cd
2 1 1
direct
0.000 0.000 0.973
0.000 0.000 0.527
0.500 0.500 0.250
0.500 0.500 0.750

---

(8)
Fe2ReRu (GGA-PBE, relaxed); total magnetization = 1.286 μB/atom; uncorrected energy = -9.574 eV per atom
1.0
-1.005 0.984 -2.502
1.978 -1.539 -1.400
-4.027 -4.897 -0.307
Ru Re Fe
1 1 2
direct
0.500 0.500 0.764
0.000 0.000 0.485
0.500 0.500 0.232
0.000 0.000 0.019

---

(9)
CoCuW2 (GGA-PBE, relaxed); total magnetization = 0.000 μB/atom; relative energy among the computed polymorphs = 0.168 eV/atom
1.0
-6.518 5.536 2.421
-6.524 3.895 4.611
-4.781 6.001 4.485
Co W Cu
1 2 1
direct
0.499 0.499 0.499
0.242 0.242 0.242
0.003 0.003 0.003
0.755 0.755 0.755

---

(10)
La5CeIr4 (GGA-PBE, relaxed); total magnetization = 0.000 μB/atom; uncorrected energy = -7.263 eV per atom
1.0
-3.001 -2.947 0.395
4.558 -3.904 5.500
-3.561 7.266 4.567
La Ce Ir
5 1 4
direct
0.839 0.669 0.679
0.833 0.140 0.667
0.161 0.331 0.321
0.500 0.500 0.000
0.167 0.860 0.333
0.500 0.000 0.000
0.332 0.893 0.664
0.001 0.753 0.003
0.999 0.247 0.997
0.668 0.107 0.336

---

(11)
Ta2HAu (GGA-PBE, relaxed); total magnetization = 0.000 μB/atom; relative energy among the computed polymorphs = 0.458 eV/atom
1.0
2.504 -3.680 -0.127
2.438 -1.157 3.542
-1.144 -3.555 2.425
Ta Au H
2 1 1
direct
0.250 0.250 0.250
0.750 0.750 0.750
0.500 0.500 0.500
0.000 0.000 0.000